A plane-wave DFT calculation with PBE was carried out for ZrSnRu after structural relaxation.

abc: 3.2246 3.2246 5.9327
angles: 105.77 105.77 90.00
Closest atoms and distances in Å follow each position.
Sites, in units of the cell vectors:
Ru: 0.9490 0.9490 0.8980  4 Sn 2.80, 4 Zr 2.82
Zr: 0.6010 0.6010 0.2020  4 Ru 2.82, 4 Sn 3.15
Sn: 0.3000 0.3000 0.5999  4 Ru 2.80

Values from the calculation:
Space group   I4mm, No. 107


A plane-wave DFT calculation with PBE was carried out for Zr2SnRu3 after structural relaxation.

abc: 3.2857 3.2857 9.6462
angles: 90.00 90.00 90.00
Closest atoms and distances in Å follow each position.
Sites, in units of the cell vectors:
Zr: 0.5000 0.5000 0.8298  8 Ru 2.82-2.85
Zr: 0.5000 0.5000 0.1702  8 Ru 2.82-2.85
Ru: 0.0000 0.0000 0.3353  4 Sn 2.81, 4 Zr 2.82
Ru: 0.0000 0.0000 0.6647  4 Sn 2.81, 4 Zr 2.82
Ru: 0.0000 0.0000 0.0000  8 Zr 2.85
Sn: 0.5000 0.5000 0.5000  8 Ru 2.81

Values from the calculation:
Space group   P4/mmm, No. 123


A plane-wave DFT calculation with PBE was carried out for ZrSnRu2 after structural relaxation.

abc: 7.0780 7.0780 5.8636
angles: 52.88 52.88 90.00
Closest atoms and distances in Å follow each position.
Sites, in units of the cell vectors:
Sn: 0.7500 0.2500 0.5000  4 Ru 2.63
Sn: 0.0000 0.0000 0.0000  4 Ru 2.63
Ru: 0.8750 0.8731 0.7500  2 Zr 2.61, 2 Sn 2.63
Ru: 0.3750 0.3769 0.7500  2 Zr 2.61, 2 Sn 2.63
Ru: 0.1269 0.6250 0.2500  2 Zr 2.61, 2 Sn 2.63
Ru: 0.6231 0.1250 0.2500  2 Zr 2.61, 2 Sn 2.63
Zr: 0.5000 0.5000 0.0000  4 Ru 2.61
Zr: 0.2500 0.7500 0.5000  4 Ru 2.61

Values from the calculation:
Space group   I-42d, No. 122


A plane-wave DFT calculation with PBE was carried out for ZrSnRu3 after structural relaxation.

abc: 4.7912 4.7912 4.7912
angles: 90.00 90.00 90.00
Closest atoms and distances in Å follow each position.
Sites, in units of the cell vectors:
Ru: 0.0000 0.5000 0.0000  2 Zr 2.40
Ru: 0.0000 0.0000 0.5000  2 Zr 2.40
Ru: 0.5000 0.0000 0.0000  2 Zr 2.40
Sn: 0.5000 0.5000 0.5000  12 Ru 3.39
Zr: 0.0000 0.0000 0.0000  6 Ru 2.40

Values from the calculation:
Space group   Pm-3m, No. 221
Excess energy over the best structure of this formula in the dataset   0.171 eV per atom


A plane-wave DFT calculation with PBE was carried out for ZrSnRu2 after structural relaxation.

abc: 3.3488 4.5085 4.5085
angles: 90.00 90.00 90.00
Closest atoms and distances in Å follow each position.
Sites, in units of the cell vectors:
Ru: 0.0000 0.0000 0.5000  4 Zr 2.81, 4 Sn 2.81
Ru: 0.0000 0.5000 0.0000  4 Sn 2.81, 4 Zr 2.81
Sn: 0.5000 0.0000 0.0000  8 Ru 2.81
Zr: 0.5000 0.5000 0.5000  8 Ru 2.81

Values from the calculation:
Space group   P4/mmm, No. 123


A plane-wave DFT calculation with PBE was carried out for SrRu2 after structural relaxation.

abc: 8.3004 8.3004 4.1442
angles: 90.00 90.00 120.00
Closest atoms and distances in Å follow each position.
Sites, in units of the cell vectors:
Sr: 0.6667 0.3333 0.0000  9 Ru 3.16-3.31
Sr: 0.3333 0.6667 0.0000  9 Ru 3.16-3.31
Sr: 0.0000 0.0000 0.5000  9 Ru 2.95-3.18
Ru: 0.0000 0.3835 0.5000  2 Ru 2.34
Ru: 0.2525 0.0000 0.0000  2 Ru 2.34
Ru: 0.6165 0.6165 0.5000  2 Ru 2.34
Ru: 0.0000 0.2525 0.0000  2 Ru 2.34
Ru: 0.3835 0.0000 0.5000  2 Ru 2.34
Ru: 0.7475 0.7475 0.0000  2 Ru 2.34

Values from the calculation:
Space group   P-62m, No. 189


A plane-wave DFT calculation with PBE was carried out for SrRu2 after structural relaxation.

abc: 4.6029 4.6029 4.6029
angles: 60.00 60.00 60.00
Closest atoms and distances in Å follow each position.
Sites, in units of the cell vectors:
Ru: 0.2500 0.2500 0.2500  4 Sr 2.82
Ru: 0.7500 0.7500 0.7500  4 Sr 2.82
Sr: 0.0000 0.0000 0.0000  8 Ru 2.82

Values from the calculation:
Space group   Fm-3m, No. 225


A plane-wave DFT calculation with PBE was carried out for Sr2Ru after structural relaxation.

abc: 7.3151 7.3151 7.3916
angles: 90.00 90.00 150.74
Closest atoms and distances in Å follow each position.
Sites, in units of the cell vectors:
Ru: 0.8829 0.1171 0.9192  7 Sr 3.03-3.17
Ru: 0.1171 0.8829 0.4192  7 Sr 3.03-3.17
Sr: 0.2269 0.7731 0.0450  3 Ru 3.03-3.17
Sr: 0.5171 0.4829 0.7022  4 Ru 3.10-3.13
Sr: 0.4829 0.5171 0.2022  4 Ru 3.10-3.13
Sr: 0.7731 0.2269 0.5450  3 Ru 3.03-3.17

Values from the calculation:
Space group   Cmc2_1, No. 36


The total DFT energy (no corrections) results, record by record, are as follows: -7.64, -8.66, -7.48, -6.68, -8.30, -5.67, -4.82, -3.74 eV/atom.
The energy relative to the elements results, record by record, are as follows: -36, -49, 28, 134, -50, 104, 185, 45 kJ/mol of atoms.